## Mg2InRe (GGA-PBE)

Data for a geometry-optimized Mg2InRe structure.

Structure (extended XYZ):
```
8
Lattice="3.2965 0.0000 0.0000 0.0000 4.6295 0.0000 0.0000 0.0000 9.7157" Properties=species:S:1:pos:R:3 pbc="T T T"
Mg 0.0000 0.0000 2.2585
Mg 0.0000 0.0000 7.4573
Mg 1.6483 2.3148 2.5994
Mg 1.6483 2.3148 7.1163
In 0.0000 2.3148 0.0000
In 1.6483 0.0000 4.8579
Re 0.0000 2.3148 4.8579
Re 1.6483 0.0000 0.0000
```

Density in g cm⁻³: 7.8
Total DFT energy (no corrections) in eV per cell: -34.3